1.
16
Lattice="6.766 0.000 0.000 0.000 6.766 0.000 0.000 0.000 6.766" Properties=species:S:1:pos:R:3 comment="HoScZnRh (PBE, relaxed)" dft_energy_ev_per_cell=-88.152 pbc="T T T"
Ho 0.000 0.000 0.000
Ho 0.000 3.383 3.383
Ho 3.383 0.000 3.383
Ho 3.383 3.383 0.000
Sc 0.000 0.000 3.383
Sc 0.000 3.383 0.000
Sc 3.383 0.000 0.000
Sc 3.383 3.383 3.383
Zn 1.692 1.692 5.075
Zn 1.692 5.075 1.692
Zn 5.075 1.692 1.692
Zn 5.075 5.075 5.075
Rh 1.692 1.692 1.692
Rh 1.692 5.075 5.075
Rh 5.075 1.692 5.075
Rh 5.075 5.075 1.692

***

2.
5
Lattice="3.703 0.000 0.000 0.000 3.703 0.000 0.000 0.000 4.778" Properties=species:S:1:pos:R:3 comment="ZnRuNF2 (PBE, relaxed)" e_form_raw_ev_per_atom=0.09 pbc="T T T"
Zn 0.000 0.000 0.000
Ru 1.852 1.852 2.389
N 0.000 0.000 2.389
F 0.000 1.852 0.000
F 1.852 0.000 0.000

***

3.
9
Lattice="-1.561 2.229 4.681 1.561 -2.229 4.681 1.561 2.229 -4.681" Properties=species:S:1:pos:R:3 comment="Ta2VH6 (PBE, relaxed)" dft_energy_ev_per_cell=-54.414 pbc="T T T"
Ta 0.000 0.000 1.539
Ta 0.000 0.000 7.823
V 0.000 0.000 4.681
H 1.561 1.160 -1.513
H 0.000 1.196 0.000
H 1.561 1.160 1.513
H 0.000 1.069 3.168
H 0.000 3.262 0.000
H 0.000 1.069 6.194

***

4.
12
Lattice="2.738 0.000 0.000 -1.369 2.372 0.000 0.000 0.000 27.927" Properties=species:S:1:pos:R:3 comment="Al2VRu (PBE, relaxed)" dft_energy_ev_per_cell=-75.811 pbc="T T T"
Al 0.000 0.000 2.502
Al 0.000 0.000 25.425
Al 0.000 1.581 16.116
Al 0.000 1.581 21.120
Al 1.369 0.791 6.807
Al 1.369 0.791 11.811
V 0.000 0.000 13.964
V 0.000 1.581 4.655
V 1.369 0.791 23.273
Ru 0.000 0.000 0.000
Ru 0.000 1.581 18.618
Ru 1.369 0.791 9.309

***

5.
8
Lattice="14.305 0.000 0.000 0.000 4.216 0.000 -2.404 0.000 5.461" Properties=species:S:1:pos:R:3 comment="KTlBiSb (PBE, relaxed)" e_form_raw_ev_per_atom=-0.10 pbc="T T T"
K 0.000 0.000 0.000
K 7.152 2.108 0.000
Tl 1.019 2.108 3.765
Tl 8.171 0.000 3.765
Bi 3.445 2.108 1.581
Bi 10.597 0.000 1.581
Sb 5.325 0.000 2.455
Sb 12.477 2.108 2.455

***

6.
5
Lattice="5.994 0.000 0.000 0.000 5.994 0.000 0.000 0.000 4.950" Properties=species:S:1:pos:R:3 comment="CsSrSe2N (PBE, relaxed)" e_form_raw_ev_per_atom=0.21 pbc="T T T"
Cs 0.000 0.000 0.000
Sr 2.997 2.997 2.475
Se 0.000 2.997 2.475
Se 2.997 0.000 2.475
N 2.997 2.997 0.000

***

7.
5
Lattice="5.092 0.000 0.000 0.000 5.092 0.000 0.000 0.000 5.092" Properties=species:S:1:pos:R:3 comment="YPb3F (PBE, relaxed)" e_form_raw_ev_per_atom=-0.69 pbc="T T T"
Y 0.000 0.000 0.000
Pb 0.000 2.546 2.546
Pb 2.546 0.000 2.546
Pb 2.546 2.546 0.000
F 2.546 2.546 2.546

***

8.
4
Lattice="4.058 0.000 0.000 0.000 4.058 0.000 0.000 0.000 4.575" Properties=species:S:1:pos:R:3 comment="LaZnRe2 (PBE, relaxed)" dft_energy_ev_per_cell=-28.178 pbc="T T T"
La 0.000 0.000 0.000
Zn 2.029 2.029 0.000
Re 0.000 2.029 2.287
Re 2.029 0.000 2.287